Arrangement w

Computed, not measured: an optimized crystal structure of KHfI2O at the PBE-GGA level of DFT.

Cell: 6.0540 6.0540 4.0260 Å, 90.00 90.00 90.00°
With the nearest neighbours (Å) after each atom.
Positions (direct):
O 0.0000 0.0000 0.5000  2 Hf 2.01
I 0.0000 0.5000 0.0000  2 Hf 3.03
I 0.5000 0.0000 0.0000  2 Hf 3.03
Hf 0.0000 0.0000 0.0000  2 O 2.01
K 0.5000 0.5000 0.5000  8 I 3.64, 2 K 4.03

Computed properties:
SG: No. 123
Calculated density, Mg/m³: 5.5

Arrangement x

Computed, not measured: an optimized crystal structure of KHfI2O at the PBE-GGA level of DFT.

Cell: 6.0277 6.0277 4.1137 Å, 90.00 90.00 90.00°
With the nearest neighbours (Å) after each atom.
Positions (direct):
O 0.0000 0.0000 0.5000  2 K 2.06
Hf 0.5000 0.5000 0.5000  8 I 3.65
K 0.0000 0.0000 0.0000  2 O 2.06
I 0.0000 0.5000 0.0000  2 K 3.01
I 0.5000 0.0000 0.0000  2 K 3.01

Computed properties:
SG: No. 123
Calculated density, Mg/m³: 5.4

Stability check: which of them is least stable? arrangement x.

Arrangement w

Computed, not measured: an optimized crystal structure of KHfSbI2 at the PBE-GGA level of DFT.

Cell: 5.9181 5.9181 6.1206 Å, 90.00 90.00 90.00°
With the nearest neighbours (Å) after each atom.
Positions (direct):
K 0.0000 0.0000 0.0000  4 I 2.96, 2 Sb 3.06
Hf 0.5000 0.5000 0.5000  4 Sb 4.18, 8 I 4.26
I 0.0000 0.5000 0.0000  2 K 2.96
Sb 0.0000 0.0000 0.5000  2 K 3.06
I 0.5000 0.0000 0.0000  2 K 2.96

Computed properties:
SG: No. 123
Calculated density, Mg/m³: 4.6

Arrangement x

Computed, not measured: an optimized crystal structure of KHfSbI2 at the PBE-GGA level of DFT.

Cell: 5.8864 5.8864 5.5664 Å, 90.00 90.00 90.00°
With the nearest neighbours (Å) after each atom.
Positions (direct):
Hf 0.0000 0.0000 0.0000  2 Sb 2.78, 4 I 2.94
K 0.5000 0.5000 0.5000  8 I 4.05, 4 Sb 4.16
I 0.5000 0.0000 0.0000  2 Hf 2.94
I 0.0000 0.5000 0.0000  2 Hf 2.94
Sb 0.0000 0.0000 0.5000  2 Hf 2.78

Computed properties:
SG: No. 123
Calculated density, Mg/m³: 5.1

Stability check: which of them is least stable? arrangement w.